No. 1
A plane-wave DFT calculation with GGA-PBE was carried out for CuAs2Ir after structural relaxation.

```
4
Lattice="3.8721 -1.5239 0.0000 3.8721 1.5239 0.0000 -1.0872 0.0000 5.3747" Properties=species:S:1:pos:R:3 pbc="T T T"
Cu 0.0000 0.0000 0.0000
As 1.0707 0.0000 4.0031
As 5.5863 0.0000 1.3715
Ir 3.3285 0.0000 2.6873
```

ΔH_f (0 K) = 10 kJ/mol of atoms
Crystal system = monoclinic

No. 2
A plane-wave DFT calculation with GGA-PBE was carried out for KBaLi2Zn after structural relaxation.

```
5
Lattice="5.6635 0.0000 0.0000 0.0000 5.6635 0.0000 0.0000 0.0000 6.1209" Properties=species:S:1:pos:R:3 pbc="T T T"
K 0.0000 0.0000 0.0000
Ba 2.8317 2.8317 0.0000
Li 0.0000 2.8317 3.0605
Li 2.8317 0.0000 3.0605
Zn 2.8317 2.8317 3.0605
```

ΔH_f (0 K) = 13 kJ/mol of atoms
Crystal system = tetragonal

No. 3
A plane-wave DFT calculation with GGA-PBE was carried out for BaBiAs2S8 after structural relaxation.

```
12
Lattice="6.2354 0.0000 0.0000 -3.1177 5.4000 0.0000 0.0000 0.0000 9.4032" Properties=species:S:1:pos:R:3 pbc="T T T"
Ba 0.0000 0.0000 0.0000
Bi 0.0000 0.0000 4.7016
As 0.0000 3.6000 7.0833
As 3.1177 1.8000 2.3199
S -1.9789 3.6106 2.8762
S 0.9803 1.8809 2.8762
S 0.0000 3.6000 9.2435
S 2.1190 0.0915 6.5269
S 0.9987 5.3085 2.8762
S 3.1177 1.8000 0.1596
S 2.1374 3.5191 6.5269
S 5.0966 1.7894 6.5269
```

Uncorrected formation energy = -0.340 eV/atom
Crystal system = trigonal

Q: Which total DFT energy (no corrections) values were calculated for the entries above? A: -5.462; -1.495; -4.350, in eV per atom.